No. 1
Material: Ho2Si2O7
Method: DFT, PBE-GGA
State: optimized geometry

Values from the calculation:
* crystal system: orthorhombic

Lattice parameters (Å, degrees): 13.551 4.997 8.114 90.00 90.00 90.00
Space group Pna2_1 (No. 33)
Inequivalent atoms, fractional coordinates:
Ho  0.125  0.165  0.000 (multiplicity 4)
Ho  0.125  0.165  0.478 (multiplicity 4)
Si  0.043  0.624  0.739 (multiplicity 4)
Si  0.183  0.625  0.239 (multiplicity 4)
O  0.049  0.790  0.567 (multiplicity 4)
O  0.049  0.792  0.910 (multiplicity 4)
O  0.079  0.441  0.239 (multiplicity 4)
O  0.103  0.344  0.739 (multiplicity 4)
O  0.156  0.940  0.239 (multiplicity 4)
O  0.234  0.510  0.405 (multiplicity 4)
O  0.234  0.511  0.072 (multiplicity 4)

***

No. 2
Material: HoSiO3
Method: DFT, PBE-GGA
State: optimized geometry

Values from the calculation:
* crystal system: monoclinic

Lattice parameters (Å, degrees): 5.208 7.278 5.211 90.00 90.06 90.00
Space group P2_1/m (No. 11)
Inequivalent atoms, fractional coordinates:
Ho  0.001  0.250  0.000 (multiplicity 2)
Ho  0.499  0.750  0.500 (multiplicity 2)
Si  0.000  0.000  0.500 (multiplicity 2)
Si  0.500  0.000  0.000 (multiplicity 2)
O  0.001  0.750  0.469 (multiplicity 2)
O  0.249  0.516  0.751 (multiplicity 4)
O  0.251  0.016  0.251 (multiplicity 4)
O  0.499  0.250  0.969 (multiplicity 2)

***

No. 3
Material: HoSiO3
Method: DFT, PBE-GGA
State: optimized geometry

Values from the calculation:
* crystal system: orthorhombic

Lattice parameters (Å, degrees): 5.177 7.311 5.186 90.00 90.00 90.00
Space group Imma (No. 74)
Inequivalent atoms, fractional coordinates:
Ho  0.000  0.250  0.002 (multiplicity 4)
Si  0.000  0.000  0.500 (multiplicity 4)
O  0.000  0.250  0.497 (multiplicity 4)
O  0.250  0.001  0.750 (multiplicity 8)

***

No. 4
Material: HoSiO3
Method: DFT, PBE-GGA
State: optimized geometry

Values from the calculation:
* crystal system: tetragonal

Lattice parameters (Å, degrees): 5.066 5.066 7.845 90.00 90.00 90.00
Space group I4/mcm (No. 140)
Inequivalent atoms, fractional coordinates:
Ho  0.000  0.500  0.250 (multiplicity 4)
Si  0.000  0.000  0.000 (multiplicity 4)
O  0.000  0.000  0.250 (multiplicity 4)
O  0.189  0.311  0.000 (multiplicity 8)

***

No. 5
Material: Ho2Si2O7
Method: DFT, PBE-GGA
State: optimized geometry

Values from the calculation:
* crystal system: triclinic

Lattice parameters (Å, degrees): 6.579 6.613 11.976 94.30 91.00 91.79
Space group P-1 (No. 2)
Inequivalent atoms, fractional coordinates:
Ho  0.052  0.328  0.115 (multiplicity 2)
Ho  0.116  0.089  0.358 (multiplicity 2)
Ho  0.326  0.827  0.109 (multiplicity 2)
Ho  0.371  0.220  0.632 (multiplicity 2)
Si  0.143  0.624  0.380 (multiplicity 2)
Si  0.157  0.149  0.884 (multiplicity 2)
Si  0.378  0.726  0.596 (multiplicity 2)
Si  0.486  0.666  0.827 (multiplicity 2)
O  0.000  0.335  0.918 (multiplicity 2)
O  0.001  0.985  0.815 (multiplicity 2)
O  0.039  0.229  0.574 (multiplicity 2)
O  0.073  0.414  0.311 (multiplicity 2)
O  0.226  0.907  0.624 (multiplicity 2)
O  0.237  0.088  0.005 (multiplicity 2)
O  0.287  0.781  0.312 (multiplicity 2)
O  0.290  0.572  0.489 (multiplicity 2)
O  0.297  0.708  0.909 (multiplicity 2)
O  0.351  0.212  0.813 (multiplicity 2)
O  0.355  0.489  0.123 (multiplicity 2)
O  0.384  0.137  0.212 (multiplicity 2)
O  0.398  0.566  0.696 (multiplicity 2)
O  0.412  0.169  0.446 (multiplicity 2)

***

No. 6
Material: HoSiO3
Method: DFT, PBE-GGA
State: optimized geometry

Values from the calculation:
* crystal system: trigonal

Lattice parameters (Å, degrees): 5.1796 5.1796 12.6877 90.00 90.00 120.00
Space group R-3c (No. 167, hexagonal axes)
Inequivalent atoms, fractional coordinates:
Ho  0.0000  0.0000  0.2500 (multiplicity 6)
Si  0.0000  0.0000  0.0000 (multiplicity 6)
O  0.0000  0.4908  0.2500 (multiplicity 18)

***

No. 7
Material: Ho2Si2O7
Method: DFT, PBE-GGA
State: optimized geometry

Values from the calculation:
* crystal system: monoclinic

Lattice parameters (Å, degrees): 4.690 10.778 5.539 90.00 96.02 90.00
Space group P2_1/c (No. 14)
Inequivalent atoms, fractional coordinates:
Ho  0.113  0.150  0.407 (multiplicity 4)
Si  0.359  0.613  0.645 (multiplicity 4)
O  0.121  0.684  0.458 (multiplicity 4)
O  0.205  0.552  0.870 (multiplicity 4)
O  0.382  0.205  0.746 (multiplicity 4)
O  0.500  0.000  0.000 (multiplicity 2)

***

No. 8
Material: Ho2Si2O7
Method: DFT, PBE-GGA
State: optimized geometry

Values from the calculation:
* crystal system: triclinic

Lattice parameters (Å, degrees): 6.576 6.595 11.917 91.10 91.46 92.06
Space group P-1 (No. 2)
Inequivalent atoms, fractional coordinates:
Ho  0.057  0.324  0.114 (multiplicity 2)
Ho  0.124  0.073  0.357 (multiplicity 2)
Ho  0.328  0.826  0.112 (multiplicity 2)
Ho  0.359  0.242  0.628 (multiplicity 2)
Si  0.151  0.610  0.380 (multiplicity 2)
Si  0.156  0.153  0.883 (multiplicity 2)
Si  0.372  0.735  0.596 (multiplicity 2)
Si  0.482  0.671  0.829 (multiplicity 2)
O  0.001  0.007  0.186 (multiplicity 2)
O  0.001  0.338  0.915 (multiplicity 2)
O  0.031  0.243  0.581 (multiplicity 2)
O  0.081  0.404  0.313 (multiplicity 2)
O  0.219  0.916  0.614 (multiplicity 2)
O  0.237  0.088  0.006 (multiplicity 2)
O  0.291  0.565  0.497 (multiplicity 2)
O  0.294  0.715  0.910 (multiplicity 2)
O  0.299  0.770  0.312 (multiplicity 2)
O  0.350  0.211  0.810 (multiplicity 2)
O  0.360  0.488  0.119 (multiplicity 2)
O  0.381  0.134  0.213 (multiplicity 2)
O  0.390  0.576  0.701 (multiplicity 2)
O  0.413  0.171  0.447 (multiplicity 2)

***

No. 9
Material: SmHo2O3
Method: DFT, PBE-GGA
State: optimized geometry

Values from the calculation:
* crystal system: trigonal

Lattice parameters (Å, degrees): 3.4062 3.4062 8.4024 90.00 90.00 120.00
Space group P-3m1 (No. 164)
Inequivalent atoms, fractional coordinates:
Sm  0.0000  0.0000  0.0000 (multiplicity 1)
Ho  0.3333  0.6667  0.6649 (multiplicity 2)
O  0.0000  0.0000  0.5000 (multiplicity 1)
O  0.3333  0.6667  0.1915 (multiplicity 2)

***

No. 10
Material: Sm2HoO4
Method: DFT, PBE-GGA
State: optimized geometry

Values from the calculation:
* crystal system: cubic

Lattice parameters (Å, degrees): 9.714 9.714 9.714 90.00 90.00 90.00
Space group Fd-3m (No. 227, origin choice 2)
Inequivalent atoms, fractional coordinates:
Sm  0.000  0.000  0.000 (multiplicity 16)
Ho  0.125  0.125  0.625 (multiplicity 8)
O  0.003  0.003  0.247 (multiplicity 32)

***

No. 11
Material: SmHoTeO2
Method: DFT, PBE-GGA
State: optimized geometry

Values from the calculation:
* crystal system: tetragonal

Lattice parameters (Å, degrees): 3.944 3.944 12.542 90.00 90.00 90.00
Space group I4mm (No. 107)
Inequivalent atoms, fractional coordinates:
Sm  0.000  0.000  0.000 (multiplicity 2)
Ho  0.000  0.000  0.677 (multiplicity 2)
Te  0.000  0.000  0.340 (multiplicity 2)
O  0.000  0.500  0.095 (multiplicity 4)

***

No. 12
Material: Ho2Sn2O5
Method: DFT, PBE-GGA
State: optimized geometry

Values from the calculation:
* crystal system: tetragonal

Lattice parameters (Å, degrees): 3.755 3.755 9.385 90.00 90.00 90.00
Space group P4/mmm (No. 123)
Inequivalent atoms, fractional coordinates:
Ho  0.000  0.000  0.245 (multiplicity 2)
Sn  0.500  0.500  0.000 (multiplicity 1)
Sn  0.500  0.500  0.500 (multiplicity 1)
O  0.000  0.000  0.000 (multiplicity 1)
O  0.000  0.500  0.365 (multiplicity 4)

***

| no. | E (eV per formula unit) | spin magnetization (Bohr magnetons per cell) |
| --- | --- | --- |
| 1 | -90.22 | 0.00 |
| 2 | -36.69 | 0.03 |
| 3 | -36.68 | 0.00 |
| 4 | -36.92 | 0.00 |
| 5 | -90.10 | 0.00 |
| 6 | -36.68 | 0.01 |
| 7 | -90.34 | 0.00 |
| 8 | -90.05 | 0.00 |
| 9 | -45.53 | 0.00 |
| 10 | -55.86 | 3.23 |
| 11 | -37.05 | 0.00 |
| 12 | -61.55 | 0.00 |